1.
First-principles (PBE) data for an optimized crystal structure of Ac6GaSi2Br3, as listed in Alexandria via LeMat-Bulk.

Cell: 20.1472 4.6165 9.2276 Å, 90.00 103.13 90.00°
Last column: nearest neighbours and their distance in Å.
Space group C2/m (No. 12)
Asymmetric unit:
Ac 0.0076 0.0000 0.2353  1 Si 3.14, 2 Ga 3.15, 3 Br 3.39-3.43
Ac 0.1609 0.5000 0.1023  2 Si 3.13, 1 Ga 3.16, 3 Br 3.39-3.43
Ac 0.1745 0.5000 0.5644  3 Si 3.11-3.12, 3 Br 3.40-3.43
Ga 0.0000 0.5000 0.0000  6 Ac 3.15-3.16
Si 0.1673 0.0000 0.3338  6 Ac 3.11-3.14
Br 0.0000 0.5000 0.5000  6 Ac 3.39-3.43
Br 0.1667 0.0000 0.8310  6 Ac 3.39-3.43

DOS at the Fermi energy = 0.5370 states/eV per atom
Electronic total energy = -4.6218 eV/atom
Magnetic moment = 0.00 μB per formula unit

2.
First-principles (PBE) data for an optimized crystal structure of SrAcGaBr, as listed in Alexandria via LeMat-Bulk.

Cell: 7.9728 7.9728 7.9728 Å, 90.00 90.00 90.00°
Last column: nearest neighbours and their distance in Å.
Space group F-43m (No. 216)
Asymmetric unit:
Sr 0.0000 0.0000 0.0000  4 Br 3.45, 4 Ga 3.45
Ac 0.0000 0.0000 0.5000  4 Ga 3.45, 4 Br 3.45
Ga 0.2500 0.2500 0.2500  4 Ac 3.45, 4 Sr 3.45
Br 0.2500 0.2500 0.7500  4 Ac 3.45, 4 Sr 3.45

DOS at the Fermi energy = 1.3531 states/eV per atom
Electronic total energy = -3.3308 eV/atom
Magnetic moment = 0.00 μB per formula unit

3.
First-principles (PBE) data for an optimized crystal structure of Ac8Ga3TcBr4, as listed in Alexandria via LeMat-Bulk.

Cell: 9.1381 9.1381 23.7095 Å, 90.00 90.00 120.00°
Last column: nearest neighbours and their distance in Å.
Space group R-3m (No. 166, hexagonal axes)
Asymmetric unit:
Ac 0.0000 0.0000 0.2416  3 Ga 3.18, 3 Br 3.42
Ac 0.0200 0.5100 0.2352  1 Tc 2.96, 2 Ga 3.17
Ga 0.0000 0.5000 0.5000  6 Ac 3.17-3.18
Tc 0.0000 0.0000 0.5000  6 Ac 2.96
Br 0.0000 0.0000 0.0000  6 Ac 3.64
Br 0.0000 0.5000 0.0000  6 Ac 3.42-3.46

DOS at the Fermi energy = 0.6716 states/eV per atom
Electronic total energy = -4.4856 eV/atom
Magnetic moment = 0.00 μB per formula unit

4.
First-principles (PBE) data for an optimized crystal structure of Ac4GaTeBr2, as listed in Alexandria via LeMat-Bulk.

Cell: 7.7126 4.6842 8.3788 Å, 90.00 110.05 90.00°
Last column: nearest neighbours and their distance in Å.
Space group P2/m (No. 10)
Asymmetric unit:
Ac 0.2289 0.0000 0.2213  2 Ga 3.13, 3 Br 3.24-3.46, 1 Te 3.38
Ac 0.2413 0.5000 0.7710  1 Ga 3.10, 2 Br 3.24, 2 Te 3.35
Ga 0.0000 0.5000 0.0000  6 Ac 3.10-3.13
Te 0.0000 0.0000 0.5000  6 Ac 3.35-3.38
Br 0.5000 0.0000 0.0000  6 Ac 3.24
Br 0.5000 0.5000 0.5000  6 Ac 3.46-3.50

DOS at the Fermi energy = 0.6321 states/eV per atom
Electronic total energy = -4.3758 eV/atom
Magnetic moment = 0.00 μB per formula unit

5.
First-principles (PBE) data for an optimized crystal structure of AcGaTeBr, as listed in Alexandria via LeMat-Bulk.

Cell: 7.8909 7.8909 7.8909 Å, 90.00 90.00 90.00°
Last column: nearest neighbours and their distance in Å.
Space group F-43m (No. 216)
Asymmetric unit:
Ac 0.0000 0.0000 0.0000  4 Br 3.42, 4 Te 3.42
Ga 0.0000 0.0000 0.5000  4 Te 3.42, 4 Br 3.42
Te 0.2500 0.2500 0.7500  4 Ac 3.42, 4 Ga 3.42
Br 0.2500 0.2500 0.2500  4 Ga 3.42, 4 Ac 3.42

DOS at the Fermi energy = 0.9513 states/eV per atom
Electronic total energy = -3.9372 eV/atom
Magnetic moment = 0.33 μB per formula unit

6.
First-principles (PBE) data for an optimized crystal structure of Ac4GaTe2Br, as listed in Alexandria via LeMat-Bulk.

Cell: 7.9997 4.6694 8.2238 Å, 90.00 109.21 90.00°
Last column: nearest neighbours and their distance in Å.
Space group P2/m (No. 10)
Asymmetric unit:
Ac 0.2318 0.0000 0.2299  2 Ga 3.19, 1 Br 3.29, 3 Te 3.33-3.44
Ac 0.2378 0.5000 0.7622  1 Ga 3.15, 2 Br 3.31, 3 Te 3.32-3.47
Ga 0.0000 0.5000 0.0000  6 Ac 3.15-3.19
Te 0.0000 0.0000 0.5000  6 Ac 3.32-3.33
Te 0.5000 0.5000 0.5000  6 Ac 3.44-3.47
Br 0.5000 0.0000 0.0000  6 Ac 3.29-3.31

DOS at the Fermi energy = 0.5956 states/eV per atom
Electronic total energy = -4.6226 eV/atom
Magnetic moment = 0.00 μB per formula unit

7.
First-principles (PBE) data for an optimized crystal structure of AcGdBr, as listed in Alexandria via LeMat-Bulk.

Cell: 3.9174 3.9174 7.9088 Å, 90.00 90.00 120.00°
Last column: nearest neighbours and their distance in Å.
Space group P3m1 (No. 156)
Asymmetric unit:
Ac 0.0000 0.0000 0.0000  3 Br 3.58, 3 Gd 3.72, 6 Ac 3.92
Gd 0.6667 0.3333 0.3734  3 Br 3.14
Br 0.3333 0.6667 0.6491  3 Gd 3.14

DOS at the Fermi energy = 1.4436 states/eV per atom
Electronic total energy = -7.3673 eV/atom
Magnetic moment = 7.63 μB per formula unit

8.
First-principles (PBE) data for an optimized crystal structure of Ac2GdBr, as listed in Alexandria via LeMat-Bulk.

Cell: 3.9459 3.9459 33.7152 Å, 90.00 90.00 120.00°
Last column: nearest neighbours and their distance in Å.
Space group R-3m (No. 166, hexagonal axes)
Asymmetric unit:
Ac 0.0000 0.0000 0.2436  3 Br 3.45, 3 Gd 3.79
Gd 0.0000 0.0000 0.0000  6 Ac 3.79, 6 Gd 3.95
Br 0.0000 0.0000 0.5000  6 Ac 3.45

DOS at the Fermi energy = 1.5269 states/eV per atom
Electronic total energy = -6.5232 eV/atom
Offset from the most stable computed form = 0 meV/atom
Magnetic moment = 7.77 μB per formula unit

9.
First-principles (PBE) data for an optimized crystal structure of Ac2GdBr, as listed in Alexandria via LeMat-Bulk.

Cell: 3.8377 3.8377 10.1299 Å, 90.00 90.00 90.00°
Last column: nearest neighbours and their distance in Å.
Space group P4/mmm (No. 123)
Asymmetric unit:
Ac 0.0000 0.0000 0.2393  4 Br 3.64, 4 Gd 3.79, 4 Ac 3.84
Gd 0.5000 0.5000 0.5000  8 Ac 3.79, 4 Gd 3.84
Br 0.5000 0.5000 0.0000  8 Ac 3.64, 4 Br 3.84

DOS at the Fermi energy = 1.2608 states/eV per atom
Electronic total energy = -6.4650 eV/atom
Offset from the most stable computed form = 58 meV/atom
Magnetic moment = 7.40 μB per formula unit

10.
First-principles (PBE) data for an optimized crystal structure of AcGdPbBr, as listed in Alexandria via LeMat-Bulk.

Cell: 7.9284 7.9284 7.9284 Å, 90.00 90.00 90.00°
Last column: nearest neighbours and their distance in Å.
Space group F-43m (No. 216)
Asymmetric unit:
Ac 0.0000 0.0000 0.0000  4 Pb 3.43, 4 Br 3.43
Gd 0.0000 0.0000 0.5000  4 Br 3.43, 4 Pb 3.43
Pb 0.2500 0.2500 0.7500  4 Gd 3.43, 4 Ac 3.43
Br 0.2500 0.2500 0.2500  4 Ac 3.43, 4 Gd 3.43

DOS at the Fermi energy = 1.3458 states/eV per atom
Electronic total energy = -6.6997 eV/atom
Magnetic moment = 7.62 μB per formula unit

11.
First-principles (PBE) data for an optimized crystal structure of AcGdTeBr, as listed in Alexandria via LeMat-Bulk.

Cell: 7.7824 7.7824 7.7824 Å, 90.00 90.00 90.00°
Last column: nearest neighbours and their distance in Å.
Space group F-43m (No. 216)
Asymmetric unit:
Ac 0.0000 0.0000 0.0000  4 Te 3.37, 4 Br 3.37
Gd 0.0000 0.0000 0.5000  4 Br 3.37, 4 Te 3.37
Te 0.2500 0.2500 0.2500  4 Gd 3.37, 4 Ac 3.37
Br 0.2500 0.2500 0.7500  4 Gd 3.37, 4 Ac 3.37

DOS at the Fermi energy = 1.3995 states/eV per atom
Electronic total energy = -6.9010 eV/atom
Magnetic moment = 7.69 μB per formula unit

12.
First-principles (PBE) data for an optimized crystal structure of Ac4Ge2Br, as listed in Alexandria via LeMat-Bulk.

Cell: 9.6508 9.6508 9.9212 Å, 90.00 90.00 90.00°
Last column: nearest neighbours and their distance in Å.
Space group I-42d (No. 122)
Asymmetric unit:
Ac 0.0740 0.6831 0.4307  3 Ge 3.14-3.49, 1 Br 3.22
Ge 0.1276 0.7500 0.1250  6 Ac 3.14-3.49
Br 0.0000 0.0000 0.5000  4 Ac 3.22

DOS at the Fermi energy = 1.1314 states/eV per atom
Electronic total energy = -4.7086 eV/atom
Magnetic moment = 0.00 μB per formula unit